K3Ni5Br12: optimized geometry, PBE-GGA.

Its uncorrected formation energy is -0.649 eV/atom. The density of states at the Fermi level comes out at 78.97 states/eV per cell. For the total energy, the calculation gives -3.2631 eV per atom.

abc: 14.353 14.353 14.353
angles: 109.47 109.47 109.47
Atoms (fractional coordinates):
K1 0.125 0.250 0.375
K2 0.125 0.375 0.750
K3 0.250 0.375 0.125
K4 0.250 0.875 0.625
K5 0.375 0.125 0.250
K6 0.375 0.750 0.125
K7 0.625 0.250 0.875
K8 0.625 0.875 0.750
K9 0.750 0.125 0.375
K10 0.750 0.625 0.875
K11 0.875 0.625 0.250
K12 0.875 0.750 0.625
Ni1 0.000 0.000 0.000
Ni2 0.000 0.000 0.500
Ni3 0.000 0.500 0.000
Ni4 0.000 0.500 0.500
Ni5 0.125 0.750 0.875
Ni6 0.125 0.875 0.250
Ni7 0.250 0.125 0.875
Ni8 0.250 0.625 0.375
Ni9 0.375 0.250 0.625
Ni10 0.375 0.625 0.750
Ni11 0.500 0.000 0.000
Ni12 0.500 0.000 0.500
Ni13 0.500 0.500 0.000
Ni14 0.500 0.500 0.500
Ni15 0.625 0.375 0.250
Ni16 0.625 0.750 0.375
Ni17 0.750 0.375 0.625
Ni18 0.750 0.875 0.125
Ni19 0.875 0.125 0.750
Ni20 0.875 0.250 0.125
Br1 0.012 0.194 0.108
Br2 0.012 0.318 0.904
Br3 0.086 0.694 0.682
Br4 0.086 0.892 0.404
Br5 0.096 0.608 0.414
Br6 0.096 0.988 0.682
Br7 0.108 0.012 0.194
Br8 0.108 0.596 0.914
Br9 0.182 0.194 0.586
Br10 0.182 0.488 0.596
Br11 0.194 0.108 0.012
Br12 0.194 0.586 0.182
Br13 0.306 0.318 0.914
Br14 0.306 0.488 0.392
Br15 0.318 0.904 0.012
Br16 0.318 0.914 0.306
Br17 0.392 0.306 0.488
Br18 0.392 0.586 0.904
Br19 0.404 0.086 0.892
Br20 0.404 0.818 0.512
Br21 0.414 0.096 0.608
Br22 0.414 0.818 0.806
Br23 0.488 0.392 0.306
Br24 0.488 0.596 0.182
Br25 0.512 0.404 0.818
Br26 0.512 0.608 0.694
Br27 0.586 0.182 0.194
Br28 0.586 0.904 0.392
Br29 0.596 0.182 0.488
Br30 0.596 0.914 0.108
Br31 0.608 0.414 0.096
Br32 0.608 0.694 0.512
Br33 0.682 0.086 0.694
Br34 0.682 0.096 0.988
Br35 0.694 0.512 0.608
Br36 0.694 0.682 0.086
Br37 0.806 0.414 0.818
Br38 0.806 0.892 0.988
Br39 0.818 0.512 0.404
Br40 0.818 0.806 0.414
Br41 0.892 0.404 0.086
Br42 0.892 0.988 0.806
Br43 0.904 0.012 0.318
Br44 0.904 0.392 0.586
Br45 0.914 0.108 0.596
Br46 0.914 0.306 0.318
Br47 0.988 0.682 0.096
Br48 0.988 0.806 0.892